# 1
# Ba3SmMo2O9, relaxed, DFT PBE with a Hubbard U
data_Ba3SmMo2O9
_chemical_formula_sum 'Ba3 Sm1 Mo2 O9'
_space_group_name_H-M_alt 'P -3 m 1'
_space_group_IT_number 164
_space_group_name_Hall '-P 3 2"'
_cell_length_a 6.0199
_cell_length_b 6.0199
_cell_length_c 7.3484
_cell_angle_alpha 90.00
_cell_angle_beta 90.00
_cell_angle_gamma 120.00
loop_
_atom_site_label
_atom_site_fract_x
_atom_site_fract_y
_atom_site_fract_z
Ba1 0.0000 0.0000 0.0000
Ba2 0.3333 0.6667 0.6760
Sm1 0.0000 0.0000 0.5000
Mo1 0.3333 0.6667 0.1592
O1 0.0000 0.5000 0.0000
O2 0.1760 0.3519 0.3137
# - size of the total moment (μB/atom) = 0.200
# - total DFT energy (no corrections) (eV per atom) = -7.1114
# - crystal system = trigonal

---

# 2
# Ba4Sn3MoO12, relaxed, DFT PBE with a Hubbard U
data_Ba4Sn3MoO12
_chemical_formula_sum 'Ba8 Sn6 Mo2 O24'
_space_group_name_H-M_alt 'I m -3 m'
_space_group_IT_number 229
_space_group_name_Hall '-I 4 2 3'
_cell_length_a 8.364
_cell_length_b 8.364
_cell_length_c 8.364
_cell_angle_alpha 90.00
_cell_angle_beta 90.00
_cell_angle_gamma 90.00
loop_
_atom_site_label
_atom_site_fract_x
_atom_site_fract_y
_atom_site_fract_z
Ba1 0.250 0.250 0.250
Sn1 0.000 0.000 0.500
Mo1 0.000 0.000 0.000
O1 0.000 0.000 0.250
O2 0.000 0.250 0.500
# - size of the total moment (μB/atom) = 0.100
# - total DFT energy (no corrections) (eV per atom) = -6.4728
# - crystal system = cubic

---

# 3
# Ba3Sn2MoO9, relaxed, DFT PBE with a Hubbard U
data_Ba3Sn2MoO9
_chemical_formula_sum 'Ba3 Sn2 Mo1 O9'
_space_group_name_H-M_alt 'P -3 m 1'
_space_group_IT_number 164
_space_group_name_Hall '-P 3 2"'
_cell_length_a 5.8935
_cell_length_b 5.8935
_cell_length_c 7.2715
_cell_angle_alpha 90.00
_cell_angle_beta 90.00
_cell_angle_gamma 120.00
loop_
_atom_site_label
_atom_site_fract_x
_atom_site_fract_y
_atom_site_fract_z
Ba1 0.0000 0.0000 0.0000
Ba2 0.3333 0.6667 0.6670
Sn1 0.3333 0.6667 0.1672
Mo1 0.0000 0.0000 0.5000
O1 0.0000 0.5000 0.0000
O2 0.1654 0.3307 0.3321
# - size of the total moment (μB/atom) = 0.133
# - total DFT energy (no corrections) (eV per atom) = -6.5567
# - crystal system = trigonal

---

# 4
# BaSr2MoO5, relaxed, DFT PBE with a Hubbard U
data_BaSr2MoO5
_chemical_formula_sum 'Ba4 Sr8 Mo4 O20'
_space_group_name_H-M_alt 'I 4/m c m'
_space_group_IT_number 140
_space_group_name_Hall '-I 4 2c'
_cell_length_a 7.103
_cell_length_b 7.103
_cell_length_c 12.207
_cell_angle_alpha 90.00
_cell_angle_beta 90.00
_cell_angle_gamma 90.00
loop_
_atom_site_label
_atom_site_fract_x
_atom_site_fract_y
_atom_site_fract_z
Ba1 0.000 0.000 0.250
Sr1 0.186 0.314 0.000
Mo1 0.000 0.500 0.250
O1 0.000 0.000 0.000
O2 0.145 0.355 0.355
# - size of the total moment (μB/atom) = 0.222
# - total DFT energy (no corrections) (eV per atom) = -6.4590
# - crystal system = tetragonal

---

# 5
# Ba4SrMo3O12, relaxed, DFT PBE with a Hubbard U
data_Ba4SrMo3O12
_chemical_formula_sum 'Ba8 Sr2 Mo6 O24'
_space_group_name_H-M_alt 'I m -3 m'
_space_group_IT_number 229
_space_group_name_Hall '-I 4 2 3'
_cell_length_a 8.500
_cell_length_b 8.500
_cell_length_c 8.500
_cell_angle_alpha 90.00
_cell_angle_beta 90.00
_cell_angle_gamma 90.00
loop_
_atom_site_label
_atom_site_fract_x
_atom_site_fract_y
_atom_site_fract_z
Ba1 0.250 0.250 0.250
Sr1 0.000 0.000 0.000
Mo1 0.000 0.000 0.500
O1 0.000 0.000 0.276
O2 0.000 0.250 0.500
# - size of the total moment (μB/atom) = 0.200
# - total DFT energy (no corrections) (eV per atom) = -6.8107
# - crystal system = cubic

---

# 6
# Ba3SrMo2O9, relaxed, DFT PBE with a Hubbard U
data_Ba3SrMo2O9
_chemical_formula_sum 'Ba3 Sr1 Mo2 O9'
_space_group_name_H-M_alt 'P -3 m 1'
_space_group_IT_number 164
_space_group_name_Hall '-P 3 2"'
_cell_length_a 6.0366
_cell_length_b 6.0366
_cell_length_c 7.5951
_cell_angle_alpha 90.00
_cell_angle_beta 90.00
_cell_angle_gamma 120.00
loop_
_atom_site_label
_atom_site_fract_x
_atom_site_fract_y
_atom_site_fract_z
Ba1 0.0000 0.0000 0.0000
Ba2 0.3333 0.6667 0.7021
Sr1 0.0000 0.0000 0.5000
Mo1 0.3333 0.6667 0.1635
O1 0.0000 0.5000 0.0000
O2 0.1776 0.3553 0.2971
# - size of the total moment (μB/atom) = 0.133
# - total DFT energy (no corrections) (eV per atom) = -6.7930
# - crystal system = trigonal

---

# 7
# BaSr2MoO6, relaxed, DFT PBE with a Hubbard U
data_BaSr2MoO6
_chemical_formula_sum 'Ba2 Sr4 Mo2 O12'
_space_group_name_H-M_alt 'P 1 21/c 1'
_space_group_IT_number 14
_space_group_name_Hall '-P 2ybc'
_cell_length_a 5.907
_cell_length_b 6.383
_cell_length_c 10.398
_cell_angle_alpha 90.00
_cell_angle_beta 123.82
_cell_angle_gamma 90.00
loop_
_atom_site_label
_atom_site_fract_x
_atom_site_fract_y
_atom_site_fract_z
Ba1 0.000 0.000 0.000
Sr1 0.220 0.044 0.730
Mo1 0.500 0.000 0.500
O1 0.188 0.155 0.468
O2 0.261 0.749 0.908
O3 0.409 0.087 0.294
# - size of the total moment (μB/atom) = 0.000
# - total DFT energy (no corrections) (eV per atom) = -6.6319
# - crystal system = monoclinic

---

# 8
# BaSrMo2O8, relaxed, DFT PBE with a Hubbard U
data_BaSrMo2O8
_chemical_formula_sum 'Ba2 Sr2 Mo4 O16'
_space_group_name_H-M_alt 'I -4 m 2'
_space_group_IT_number 119
_space_group_name_Hall 'I -4 -2'
_cell_length_a 7.977
_cell_length_b 7.977
_cell_length_c 7.074
_cell_angle_alpha 90.00
_cell_angle_beta 90.00
_cell_angle_gamma 90.00
loop_
_atom_site_label
_atom_site_fract_x
_atom_site_fract_y
_atom_site_fract_z
Ba1 0.000 0.000 0.000
Sr1 0.000 0.500 0.250
Mo1 0.000 0.000 0.500
Mo2 0.000 0.500 0.750
O1 0.000 0.180 0.346
O2 0.000 0.325 0.910
# - size of the total moment (μB/atom) = 0.000
# - total DFT energy (no corrections) (eV per atom) = -7.0498
# - crystal system = tetragonal

---

> Which formula does entry 5 have?

Ba4SrMo3O12

---

> Which formula does entry 5 have?

Ba4SrMo3O12